Computed, not measured: an optimized crystal structure of CrPtIO2 at the PBE+U level of DFT.

extended XYZ file:
```
5
Lattice="3.744 0.000 0.000 0.000 3.744 0.000 0.000 0.000 7.563" Properties=species:S:1:pos:R:3 pbc="T T T"
Cr 0.000 0.000 0.000
Pt 1.872 1.872 3.782
I 0.000 0.000 3.782
O 0.000 1.872 0.000
O 1.872 0.000 0.000
```

**Crystal system**: tetragonal
**Space-group type**: P4/mmm (123)
**Total energy**: -5.355 eV per atom
**Distance to the lowest polymorph of the same formula**: 0.000 eV per atom